Below is a geometry-optimized SrBe2GeP structure, with properties calculated at the PBE-GGA level.

a = 5.198 Å, b = 5.198 Å, c = 5.672 Å
α = 90.00°, β = 90.00°, γ = 90.00°
Fractional coordinates of all 5 atoms:
Sr 0.000 0.000 0.000
Be 0.000 0.500 0.000
Be 0.500 0.000 0.000
Ge 0.000 0.000 0.500
P 0.500 0.500 0.500

Calculated values
Formation enthalpy at 0 K   2.143 eV per atom
Space-group type   No. 123
Volume   153.27 Å³/cell

---

Below is a geometry-optimized CrTeI2 structure, with properties calculated at the PBE-GGA level.

a = 7.289 Å, b = 7.289 Å, c = 7.289 Å
α = 119.16°, β = 119.16°, γ = 91.45°
Fractional coordinates of all 8 atoms:
Cr 0.000 0.000 0.000
Cr 0.750 0.250 0.500
Te 0.250 0.750 0.500
Te 0.500 0.500 0.000
I 0.027 0.125 0.402
I 0.375 0.973 0.098
I 0.723 0.625 0.598
I 0.875 0.277 0.902

Calculated values
Energy relative to the elements, uncorrected   0.71 eV/atom
Space-group type   No. 122
Energy above the most stable polymorph in this dataset   85.7 meV per atom
Volume   277.22 Å³/cell

---

Below is a geometry-optimized La3TlN structure, with properties calculated at the PBE-GGA level.

a = 8.084 Å, b = 8.084 Å, c = 8.084 Å
α = 128.10°, β = 128.10°, γ = 76.47°
Fractional coordinates of all 10 atoms:
La 0.126 0.126 0.000
La 0.363 0.616 0.746
La 0.384 0.130 0.746
La 0.384 0.637 0.254
La 0.870 0.616 0.254
La 0.874 0.874 0.000
Tl 0.624 0.124 0.500
Tl 0.876 0.376 0.500
N 0.250 0.750 0.500
N 0.500 0.500 0.000

Calculated values
Energy relative to the elements, uncorrected   -0.41 eV/atom
Space-group type   No. 119
Volume   317.86 Å³/cell